No. 1
# NaB2H5O6

A geometry-optimized NaB2H5O6 structure (GGA-PBE, the Alexandria database).

a b c (Å): 9.651 9.651 9.651
angles (deg): 71.69 71.69 71.69
Sites, in units of the cell vectors:
Na: 0.000 0.000 0.000
Na: 0.000 0.333 0.667
Na: 0.333 0.667 0.000
Na: 0.417 0.417 0.417
Na: 0.583 0.583 0.583
Na: 0.667 0.000 0.333
B: 0.018 0.951 0.385
B: 0.027 0.735 0.606
B: 0.049 0.982 0.615
B: 0.265 0.973 0.394
B: 0.385 0.018 0.951
B: 0.394 0.265 0.973
B: 0.606 0.027 0.735
B: 0.615 0.049 0.982
B: 0.735 0.606 0.027
B: 0.951 0.385 0.018
B: 0.973 0.394 0.265
B: 0.982 0.615 0.049
H: 0.030 0.559 0.783
H: 0.068 0.765 0.879
H: 0.121 0.235 0.932
H: 0.145 0.558 0.261
H: 0.175 0.666 0.330
H: 0.217 0.441 0.970
H: 0.235 0.932 0.121
H: 0.240 0.529 0.654
H: 0.261 0.145 0.558
H: 0.330 0.175 0.666
H: 0.334 0.825 0.670
H: 0.346 0.471 0.760
H: 0.441 0.970 0.217
H: 0.442 0.855 0.739
H: 0.471 0.760 0.346
H: 0.529 0.654 0.240
H: 0.558 0.261 0.145
H: 0.559 0.783 0.030
H: 0.654 0.240 0.529
H: 0.666 0.330 0.175
H: 0.670 0.334 0.825
H: 0.739 0.442 0.855
H: 0.760 0.346 0.471
H: 0.765 0.879 0.068
H: 0.783 0.030 0.559
H: 0.825 0.670 0.334
H: 0.855 0.739 0.442
H: 0.879 0.068 0.765
H: 0.932 0.121 0.235
H: 0.970 0.217 0.441
O: 0.007 0.791 0.461
O: 0.012 0.270 0.933
O: 0.030 0.584 0.672
O: 0.041 0.500 0.959
O: 0.050 0.820 0.683
O: 0.067 0.730 0.988
O: 0.180 0.950 0.317
O: 0.209 0.993 0.539
O: 0.229 0.584 0.279
O: 0.270 0.933 0.012
O: 0.279 0.229 0.584
O: 0.317 0.180 0.950
O: 0.328 0.416 0.970
O: 0.347 0.500 0.653
O: 0.416 0.771 0.721
O: 0.416 0.970 0.328
O: 0.461 0.007 0.791
O: 0.500 0.653 0.347
O: 0.500 0.959 0.041
O: 0.539 0.209 0.993
O: 0.584 0.279 0.229
O: 0.584 0.672 0.030
O: 0.653 0.347 0.500
O: 0.673 0.030 0.584
O: 0.683 0.050 0.820
O: 0.721 0.416 0.771
O: 0.730 0.988 0.067
O: 0.771 0.721 0.416
O: 0.791 0.461 0.007
O: 0.820 0.683 0.050
O: 0.933 0.012 0.270
O: 0.950 0.317 0.180
O: 0.959 0.041 0.500
O: 0.970 0.327 0.416
O: 0.988 0.067 0.730
O: 0.993 0.539 0.209

Summary:
Total magnetization, μB per formula unit: 0.00
VASP energy, eV per atom: -6.0387
Space group: R32, No. 155


No. 2
# Na3B3H4O8

A geometry-optimized Na3B3H4O8 structure (GGA-PBE, the Alexandria database).

a b c (Å): 7.560 7.560 7.066
angles (deg): 97.43 97.43 61.65
Sites, in units of the cell vectors:
Na: 0.016 0.984 0.500
Na: 0.251 0.438 0.527
Na: 0.438 0.251 0.027
Na: 0.498 0.682 0.918
Na: 0.682 0.498 0.418
Na: 0.984 0.016 0.000
B: 0.160 0.639 0.185
B: 0.419 0.981 0.631
B: 0.639 0.160 0.685
B: 0.776 0.802 0.191
B: 0.802 0.776 0.691
B: 0.981 0.419 0.131
H: 0.112 0.189 0.310
H: 0.132 0.634 0.889
H: 0.189 0.112 0.810
H: 0.319 0.775 0.353
H: 0.437 0.979 0.335
H: 0.634 0.132 0.389
H: 0.775 0.319 0.853
H: 0.979 0.437 0.835
O: 0.156 0.450 0.198
O: 0.223 0.653 0.998
O: 0.269 0.977 0.745
O: 0.308 0.647 0.340
O: 0.335 0.991 0.424
O: 0.450 0.156 0.698
O: 0.597 0.970 0.205
O: 0.610 0.786 0.651
O: 0.647 0.308 0.840
O: 0.653 0.223 0.498
O: 0.786 0.610 0.151
O: 0.816 0.955 0.715
O: 0.955 0.816 0.215
O: 0.970 0.597 0.705
O: 0.977 0.269 0.245
O: 0.991 0.335 0.924

Summary:
Total magnetization, μB per formula unit: 0.06
VASP energy, eV per atom: -6.1618
Space group: Cc, No. 9


No. 3
# Na3B3H2O7

A geometry-optimized Na3B3H2O7 structure (GGA-PBE, the Alexandria database).

a b c (Å): 8.984 7.277 9.621
angles (deg): 90.00 90.00 90.00
Sites, in units of the cell vectors:
Na: 0.039 0.250 0.170
Na: 0.226 0.501 0.803
Na: 0.226 0.999 0.803
Na: 0.274 0.001 0.303
Na: 0.274 0.499 0.303
Na: 0.461 0.750 0.670
Na: 0.539 0.250 0.330
Na: 0.726 0.501 0.697
Na: 0.726 0.999 0.697
Na: 0.774 0.001 0.197
Na: 0.774 0.499 0.197
Na: 0.961 0.750 0.830
B: 0.017 0.750 0.285
B: 0.096 0.750 0.542
B: 0.175 0.250 0.521
B: 0.325 0.750 0.021
B: 0.404 0.250 0.042
B: 0.483 0.250 0.785
B: 0.517 0.750 0.215
B: 0.596 0.750 0.958
B: 0.675 0.250 0.979
B: 0.825 0.750 0.479
B: 0.904 0.250 0.458
B: 0.983 0.250 0.715
H: 0.087 0.624 0.108
H: 0.087 0.876 0.108
H: 0.413 0.124 0.608
H: 0.413 0.376 0.608
H: 0.587 0.624 0.392
H: 0.587 0.876 0.392
H: 0.913 0.124 0.892
H: 0.913 0.376 0.892
O: 0.036 0.583 0.195
O: 0.036 0.917 0.195
O: 0.060 0.250 0.421
O: 0.128 0.750 0.400
O: 0.137 0.250 0.660
O: 0.181 0.750 0.978
O: 0.198 0.750 0.642
O: 0.302 0.250 0.142
O: 0.319 0.250 0.478
O: 0.363 0.750 0.160
O: 0.372 0.250 0.900
O: 0.440 0.750 0.921
O: 0.464 0.083 0.695
O: 0.464 0.417 0.695
O: 0.536 0.583 0.305
O: 0.536 0.917 0.305
O: 0.560 0.250 0.079
O: 0.628 0.750 0.100
O: 0.637 0.250 0.840
O: 0.681 0.750 0.522
O: 0.698 0.750 0.858
O: 0.802 0.250 0.358
O: 0.819 0.250 0.022
O: 0.863 0.750 0.340
O: 0.872 0.250 0.600
O: 0.940 0.750 0.579
O: 0.964 0.083 0.805
O: 0.964 0.417 0.805

Summary:
Total magnetization, μB per formula unit: 0.00
VASP energy, eV per atom: -6.4005
Space group: Pnma, No. 62


No. 4
# NaBH6Pd

A geometry-optimized NaBH6Pd structure (GGA-PBE, the Alexandria database).

a b c (Å): 4.239 4.740 5.764
angles (deg): 68.97 69.63 65.40
Sites, in units of the cell vectors:
Na: 0.000 0.000 0.000
B: 0.343 0.907 0.407
H: 0.190 0.724 0.413
H: 0.204 0.083 0.551
H: 0.374 0.075 0.188
H: 0.531 0.550 0.904
H: 0.649 0.697 0.415
H: 0.980 0.561 0.909
Pd: 0.808 0.681 0.675

Summary:
Total magnetization, μB per formula unit: 0.00
VASP energy, eV per atom: -3.8060
Space group: P1, No. 1


No. 5
# NaB2H8Pd

A geometry-optimized NaB2H8Pd structure (GGA-PBE, the Alexandria database).

a b c (Å): 4.575 4.575 7.148
angles (deg): 115.20 115.20 54.24
Sites, in units of the cell vectors:
Na: 0.000 0.000 0.000
B: 0.423 0.423 0.251
B: 0.577 0.577 0.749
H: 0.235 0.671 0.661
H: 0.296 0.296 0.292
H: 0.329 0.765 0.339
H: 0.369 0.369 0.059
H: 0.631 0.631 0.941
H: 0.671 0.235 0.661
H: 0.704 0.704 0.708
H: 0.765 0.329 0.339
Pd: 0.000 0.000 0.500

Summary:
Total magnetization, μB per formula unit: 0.00
VASP energy, eV per atom: -3.9864
Space group: C2/m, No. 12


No. 6
# NaB2HPt

A geometry-optimized NaB2HPt structure (GGA-PBE, the Alexandria database).

a b c (Å): 4.511 4.511 4.865
angles (deg): 90.00 90.00 90.00
Sites, in units of the cell vectors:
Na: 0.000 0.000 0.000
B: 0.000 0.500 0.000
B: 0.500 0.000 0.000
H: 0.500 0.500 0.500
Pt: 0.000 0.000 0.500

Summary:
Total magnetization, μB per formula unit: 0.00
VASP energy, eV per atom: -1.9087
Space group: P4/mmm, No. 123


No. 7
# Na2ReBH

A geometry-optimized Na2ReBH structure (GGA-PBE, the Alexandria database).

a b c (Å): 5.165 5.165 4.079
angles (deg): 90.00 90.00 90.00
Sites, in units of the cell vectors:
Na: 0.000 0.500 0.000
Na: 0.500 0.000 0.000
Re: 0.000 0.000 0.500
B: 0.000 0.000 0.000
H: 0.500 0.500 0.500

Summary:
Total magnetization, μB per formula unit: 3.06
VASP energy, eV per atom: -3.8346
Space group: P4/mmm, No. 123


No. 8
# Na2BH2S2

A geometry-optimized Na2BH2S2 structure (GGA-PBE, the Alexandria database).

a b c (Å): 9.019 5.429 5.602
angles (deg): 90.00 102.85 90.00
Sites, in units of the cell vectors:
Na: 0.250 0.000 0.241
Na: 0.250 0.500 0.759
Na: 0.750 0.000 0.759
Na: 0.750 0.500 0.241
B: 0.000 0.500 0.000
B: 0.500 0.000 0.000
H: 0.026 0.000 0.564
H: 0.474 0.500 0.436
H: 0.526 0.500 0.564
H: 0.974 0.000 0.436
S: 0.165 0.500 0.227
S: 0.335 0.000 0.773
S: 0.665 0.000 0.227
S: 0.835 0.500 0.773

Summary:
Total magnetization, μB per formula unit: 0.66
VASP energy, eV per atom: -3.7851
Space group: C2/m, No. 12


No. 9
# NaB2SbH

A geometry-optimized NaB2SbH structure (GGA-PBE, the Alexandria database).

a b c (Å): 4.523 4.523 5.488
angles (deg): 90.00 90.00 90.00
Sites, in units of the cell vectors:
Na: 0.000 0.000 0.000
B: 0.000 0.500 0.000
B: 0.500 0.000 0.000
Sb: 0.000 0.000 0.500
H: 0.500 0.500 0.500

Summary:
Total magnetization, μB per formula unit: 0.00
VASP energy, eV per atom: -1.8575
Space group: P4/mmm, No. 123


No. 10
# NaSiB2H

A geometry-optimized NaSiB2H structure (GGA-PBE, the Alexandria database).

a b c (Å): 3.669 3.669 3.610
angles (deg): 90.00 90.00 90.00
Sites, in units of the cell vectors:
Na: 0.000 0.000 0.000
Si: 0.500 0.500 0.000
B: 0.000 0.500 0.500
B: 0.500 0.000 0.500
H: 0.000 0.000 0.500

Summary:
Total magnetization, μB per formula unit: 0.00
VASP energy, eV per atom: -3.3778
Space group: P4/mmm, No. 123


No. 11
# NaSnBH6

A geometry-optimized NaSnBH6 structure (GGA-PBE, the Alexandria database).

a b c (Å): 4.612 4.648 6.430
angles (deg): 70.99 71.67 67.49
Sites, in units of the cell vectors:
Na: 0.000 0.000 0.000
Sn: 0.684 0.694 0.539
B: 0.597 0.593 0.160
H: 0.272 0.759 0.697
H: 0.468 0.456 0.101
H: 0.497 0.518 0.370
H: 0.502 0.884 0.085
H: 0.777 0.277 0.690
H: 0.890 0.489 0.105

Summary:
Total magnetization, μB per formula unit: 0.00
VASP energy, eV per atom: -3.6274
Space group: P1, No. 1


No. 12
# NaSrB2H8

A geometry-optimized NaSrB2H8 structure (GGA-PBE, the Alexandria database).

a b c (Å): 7.461 7.461 7.461
angles (deg): 33.45 33.45 33.45
Sites, in units of the cell vectors:
Na: 0.000 0.000 0.000
Sr: 0.500 0.500 0.500
B: 0.254 0.254 0.254
B: 0.746 0.746 0.746
H: 0.038 0.571 0.571
H: 0.194 0.194 0.194
H: 0.429 0.429 0.962
H: 0.429 0.962 0.429
H: 0.571 0.038 0.571
H: 0.571 0.571 0.038
H: 0.806 0.806 0.806
H: 0.962 0.429 0.429

Summary:
Total magnetization, μB per formula unit: 0.31
VASP energy, eV per atom: -3.9105
Space group: R-3m, No. 166